The following is a DFT calculation (PBE with a Hubbard U) of a relaxed structure of CaFeN2F.

a b c (Å): 3.7860 3.7860 4.2280
angles (deg): 90.00 90.00 90.00
Fractional coordinates of all 5 atoms:
Fe (0.0000, 0.0000, 0.0000)
N (0.5000, 0.0000, 0.0000)
N (0.0000, 0.5000, 0.0000)
Ca (0.5000, 0.5000, 0.5000)
F (0.0000, 0.0000, 0.5000)

## Properties
crystal system: tetragonal
magnetization: 0.72 μB per atom
electronic total energy: -5.85 eV per atom